A relaxed structure of KAlCo2F8. Source: the Alexandria database, functional PBE with a Hubbard U.

Output
SG ... C2/m
Magnetization ... 6.00 μB/f.u.
Fermi-level density of states ... 0.0000 states/eV per atom
Raw total energy ... -5.181 eV/atom

a = 5.003 Å, b = 5.003 Å, c = 7.094 Å
α = 99.93°, β = 99.93°, γ = 77.00°
Element x y z (fractional)
K (0.000, 0.000, 0.000)
Al (0.000, 0.000, 0.500)
Co (0.438, 0.438, 0.764)
Co (0.562, 0.562, 0.236)
F (0.195, 0.776, 0.312)
F (0.224, 0.805, 0.688)
F (0.236, 0.236, 0.539)
F (0.342, 0.342, 0.002)
F (0.658, 0.658, 0.998)
F (0.764, 0.764, 0.461)
F (0.776, 0.195, 0.312)
F (0.805, 0.224, 0.688)